Below is crystalline Pm2Nd3Er8 at its relaxed geometry, with properties calculated at the PBE level.

abc: 5.9946 6.4749 10.9782
angles: 90.05 90.04 95.02
Closest atoms and distances in Å follow each position.
Fractional coordinates of all 13 atoms:
Pm: 0.7518 0.6765 0.4999  6 Er 3.32-3.63, 1 Pm 3.62
Pm: 0.2482 0.3235 0.5001  6 Er 3.32-3.63, 1 Pm 3.62
Nd: 0.0000 0.0000 0.0000  2 Nd 2.94
Nd: 0.6267 0.2663 0.9995  1 Nd 2.94, 2 Er 3.29
Nd: 0.3733 0.7337 0.0005  1 Nd 2.94, 2 Er 3.29
Er: 0.2358 0.3523 0.1986  3 Nd 3.29-3.37, 1 Pm 3.32, 5 Er 3.39-3.56
Er: 0.7642 0.6477 0.8014  3 Nd 3.29-3.37, 1 Pm 3.32, 5 Er 3.39-3.56
Er: 0.2495 0.8511 0.3272  6 Er 3.38-3.75, 2 Pm 3.60-3.63, 1 Nd 3.75
Er: 0.7505 0.1489 0.6728  6 Er 3.38-3.75, 2 Pm 3.60-3.63, 1 Nd 3.75
Er: 0.2480 0.8518 0.6734  6 Er 3.39-3.74, 2 Pm 3.60-3.63, 1 Nd 3.76
Er: 0.2333 0.3533 0.8017  3 Nd 3.29-3.37, 1 Pm 3.32, 5 Er 3.38-3.56
Er: 0.7667 0.6467 0.1983  3 Nd 3.29-3.37, 1 Pm 3.32, 5 Er 3.38-3.56
Er: 0.7520 0.1482 0.3266  6 Er 3.39-3.74, 2 Pm 3.60-3.63, 1 Nd 3.76

Summary:
total magnetic moment = 0.0 μB/f.u.
mass density = 8.06 g cm⁻³
symmetry = P-1, No. 2
relative energy among the computed polymorphs = 0.000 eV per atom
energy of formation from the pure elements = 0.147 eV/atom